1.
# La3Tb5Nd3

An optimized crystal structure of La3Tb5Nd3 (PBE, Alexandria via LeMat-Bulk).

Values from the calculation:
DFT formation energy in eV per atom: 0.714
Symmetry: P-62m, No. 189
Uncorrected energy in eV per cell: -44.38
Total magnetization in μB per cell: 0.00

Cell and atoms, written as POSCAR:
```
La3Tb5Nd3
1.0
9.668 0.000 0.000
-4.834 8.373 0.000
0.000 0.000 5.512
La Tb Nd
3 5 3
Direct
0.000 0.637 0.000 La
0.363 0.363 0.000 La
0.637 0.000 0.000 La
0.000 0.273 0.000 Tb
0.273 0.000 0.000 Tb
0.333 0.667 0.000 Tb
0.667 0.333 0.000 Tb
0.727 0.727 0.000 Tb
0.000 0.491 0.500 Nd
0.491 0.000 0.500 Nd
0.509 0.509 0.500 Nd
```


2.
# LaTb2Nd2

An optimized crystal structure of LaTb2Nd2 (PBE, Alexandria via LeMat-Bulk).

Values from the calculation:
DFT formation energy in eV per atom: 0.120
Symmetry: C2/c, No. 15
Uncorrected energy in eV per cell: -46.25
Total magnetization in μB per cell: 0.00
ΔE to the lowest computed polymorph in eV per atom: 0.099

Cell and atoms, written as POSCAR:
```
LaTb2Nd2
1.0
4.660 -4.387 0.000
4.660 4.387 0.000
-4.551 0.000 8.457
La Tb Nd
2 4 4
Direct
0.072 0.928 0.750 La
0.928 0.072 0.250 La
0.256 0.663 0.047 Tb
0.337 0.744 0.453 Tb
0.663 0.256 0.547 Tb
0.744 0.337 0.953 Tb
0.220 0.368 0.661 Nd
0.368 0.220 0.161 Nd
0.632 0.780 0.839 Nd
0.780 0.632 0.339 Nd
```